A plane-wave DFT calculation with PBE was carried out for a relaxed CrPb2 crystal.

Summary:
Space-group type: No. 8
DOS(E_F): 4.0 states/eV per cell
Total magnetization: 0.037 μB/atom
Energy of formation: 0.39 eV/atom

The structure in extended XYZ format:
```
6
Lattice="5.2961 -1.6630 0.0000 5.2961 1.6630 0.0000 -1.5134 0.0000 8.6823" Properties=species:S:1:pos:R:3 pbc="T T T"
Cr 0.0000 0.0000 0.0000
Cr 6.2357 0.0000 1.6081
Pb 0.5865 0.0000 4.1598
Pb 3.4305 0.0000 2.0156
Pb 3.3980 0.0000 5.8785
Pb 6.1837 0.0000 7.7048
```